Entry 1:
Crystalline Ta2SbW at its relaxed geometry, computed with PBE.

Properties
For the formation energy (no corrections), the calculation gives 3.13 kcal/mol of atoms. The density of states at the Fermi level is 2.961 states/eV/f.u. Its crystal system is tetragonal.

Cell lengths 3.500, 3.500, 6.019 Å; angles 90.00, 90.00, 90.00 degrees
Space group P4/mmm (No. 123)
One atom of each set of equivalent atoms:
Ta  0.000  0.000  0.239
Sb  0.500  0.500  0.500
W  0.500  0.500  0.000

Entry 2:
Crystalline TaSbW4 at its relaxed geometry, computed with PBE.

Properties
For the formation energy (no corrections), the calculation gives 9.35 kcal/mol of atoms. The density of states at the Fermi level is 4.645 states/eV/f.u. Its crystal system is cubic.

Cell lengths 7.551, 7.551, 7.551 Å; angles 90.00, 90.00, 90.00 degrees
Space group F-43m (No. 216)
One atom of each set of equivalent atoms:
Ta  0.000  0.000  0.000
Sb  0.250  0.250  0.250
W  0.125  0.125  0.625

Entry 3:
Crystalline Ta2SbW at its relaxed geometry, computed with PBE.

Properties
For the formation energy (no corrections), the calculation gives 3.86 kcal/mol of atoms. The density of states at the Fermi level is 1.956 states/eV/f.u. Its crystal system is orthorhombic.

Cell lengths 3.445, 4.894, 8.863 Å; angles 90.00, 90.00, 90.00 degrees
Space group Cmmm (No. 65)
One atom of each set of equivalent atoms:
Ta  0.000  0.000  0.241
Sb  0.000  0.500  0.500
W  0.000  0.500  0.000

Entry 4:
Crystalline Ta2SbW at its relaxed geometry, computed with PBE.

Properties
For the formation energy (no corrections), the calculation gives 3.33 kcal/mol of atoms. The density of states at the Fermi level is 3.076 states/eV/f.u. Its crystal system is monoclinic.

Cell lengths 10.160, 3.474, 4.629 Å; angles 90.00, 116.80, 90.00 degrees
Space group Cm (No. 8)
One atom of each set of equivalent atoms:
Ta  0.000  0.000  0.000
Ta  0.249  0.000  0.749
Sb  0.489  0.000  0.489
W  0.236  0.500  0.236

Entry 5:
Crystalline Ta2SbW at its relaxed geometry, computed with PBE.

Properties
For the formation energy (no corrections), the calculation gives 6.12 kcal/mol of atoms. The density of states at the Fermi level is 2.371 states/eV/f.u. Its crystal system is orthorhombic.

Cell lengths 3.423, 4.924, 8.894 Å; angles 90.00, 90.00, 90.00 degrees
Space group Cmm2 (No. 35)
One atom of each set of equivalent atoms:
Ta  0.000  0.000  0.000
Ta  0.000  0.500  0.253
Sb  0.000  0.000  0.510
W  0.000  0.500  0.763

Entry 6:
Crystalline Ta2SbW at its relaxed geometry, computed with PBE.

Properties
For the formation energy (no corrections), the calculation gives 18.62 kcal/mol of atoms. The density of states at the Fermi level is 3.390 states/eV/f.u. Its crystal system is tetragonal.

Cell lengths 4.062, 4.062, 19.515 Å; angles 90.00, 90.00, 90.00 degrees
Space group I-42d (No. 122)
One atom of each set of equivalent atoms:
Ta  0.247  0.250  0.125
Sb  0.000  0.000  0.000
W  0.000  0.000  0.500

Entry 7:
Crystalline Ta2SbW at its relaxed geometry, computed with PBE.

Properties
For the formation energy (no corrections), the calculation gives 3.03 kcal/mol of atoms. The density of states at the Fermi level is 2.802 states/eV/f.u. Its crystal system is orthorhombic.

Cell lengths 3.497, 4.614, 9.015 Å; angles 90.00, 90.00, 90.00 degrees
Space group Immm (No. 71)
One atom of each set of equivalent atoms:
Ta  0.000  0.000  0.241
Sb  0.000  0.500  0.000
W  0.000  0.500  0.500

Entry 8:
Crystalline Ta2SbW at its relaxed geometry, computed with PBE.

Properties
For the formation energy (no corrections), the calculation gives 10.88 kcal/mol of atoms. The density of states at the Fermi level is 3.924 states/eV/f.u. Its crystal system is tetragonal.

Cell lengths 2.927, 2.927, 8.782 Å; angles 90.00, 90.00, 90.00 degrees
Space group P4/mmm (No. 123)
One atom of each set of equivalent atoms:
Ta  0.000  0.000  0.244
Sb  0.500  0.500  0.500
W  0.500  0.500  0.000